Entry 1:
Density functional theory data (GGA-PBE) for a geometry-optimized CrReMo2 structure.

a b c (Å): 3.078 3.078 6.182
angles (deg): 90.00 90.00 90.00
Positions (direct):
Cr (0.500, 0.500, 0.750)
Mo (0.000, 0.000, 0.988)
Mo (0.000, 0.000, 0.512)
Re (0.500, 0.500, 0.250)

Properties
ΔE to the lowest computed polymorph	0.00	eV per formula unit
spin magnetization	0.0000	μB per atom
density of states at the Fermi level	0.763	states/eV/atom
E	-10.89	eV per atom

Entry 2:
Density functional theory data (GGA-PBE) for a geometry-optimized CrReMo2 structure.

a b c (Å): 5.111 5.111 4.350
angles (deg): 64.75 64.75 35.21
Positions (direct):
Mo (0.996, 0.996, 0.004)
Cr (0.250, 0.250, 0.250)
Re (0.750, 0.750, 0.750)
Mo (0.504, 0.504, 0.496)

Properties
ΔE to the lowest computed polymorph	0.05	eV per formula unit
spin magnetization	0.0002	μB per atom
density of states at the Fermi level	1.066	states/eV/atom
E	-10.88	eV per atom

Entry 3:
Density functional theory data (GGA-PBE) for a geometry-optimized Cr4ReMo structure.

a b c (Å): 4.781 4.781 4.781
angles (deg): 60.00 60.00 60.00
Positions (direct):
Cr (0.625, 0.625, 0.625)
Cr (0.625, 0.126, 0.625)
Re (0.000, 0.000, 0.000)
Cr (0.126, 0.625, 0.625)
Mo (0.250, 0.250, 0.250)
Cr (0.625, 0.625, 0.126)

Properties
spin magnetization	0.0000	μB per atom
density of states at the Fermi level	1.518	states/eV/atom
E	-10.25	eV per atom

Entry 4:
Density functional theory data (GGA-PBE) for a geometry-optimized CrRe2Mo structure.

a b c (Å): 6.982 6.982 5.564
angles (deg): 51.14 51.14 90.00
Positions (direct):
Cr (0.250, 0.750, 0.500)
Re (0.603, 0.125, 0.250)
Re (0.375, 0.397, 0.750)
Mo (0.750, 0.250, 0.500)
Mo (0.000, 0.000, 0.000)
Re (0.147, 0.625, 0.250)
Re (0.875, 0.853, 0.750)
Cr (0.500, 0.500, 0.000)

Properties
ΔE to the lowest computed polymorph	3.10	eV per formula unit
spin magnetization	0.0000	μB per atom
density of states at the Fermi level	1.006	states/eV/atom
E	-10.48	eV per atom

Entry 5:
Density functional theory data (GGA-PBE) for a geometry-optimized Cr8ReMo2 structure.

a b c (Å): 4.321 7.227 6.566
angles (deg): 129.14 109.21 90.00
Positions (direct):
Mo (0.845, 0.321, 0.689)
Cr (0.808, 0.939, 0.616)
Mo (0.155, 0.679, 0.311)
Cr (0.050, 0.232, 0.100)
Cr (0.553, 0.716, 0.107)
Re (0.500, 0.000, 0.000)
Cr (0.302, 0.489, 0.605)
Cr (0.698, 0.511, 0.395)
Cr (0.950, 0.768, 0.900)
Cr (0.192, 0.061, 0.384)
Cr (0.447, 0.284, 0.893)

Properties
spin magnetization	0.0000	μB per atom
density of states at the Fermi level	1.057	states/eV/atom
E	-9.81	eV per atom

Entry 6:
Density functional theory data (GGA-PBE) for a geometry-optimized CrReMo2 structure.

a b c (Å): 8.997 8.997 8.997
angles (deg): 17.80 17.80 17.80
Positions (direct):
Mo (0.497, 0.497, 0.497)
Re (0.250, 0.250, 0.250)
Mo (0.003, 0.003, 0.003)
Cr (0.750, 0.750, 0.750)

Properties
ΔE to the lowest computed polymorph	1.22	eV per formula unit
spin magnetization	0.0083	μB per atom
density of states at the Fermi level	1.365	states/eV/atom
E	-10.58	eV per atom

Entry 7:
Density functional theory data (GGA-PBE) for a geometry-optimized CrReMo2 structure.

a b c (Å): 4.366 4.366 4.366
angles (deg): 60.00 60.00 60.00
Positions (direct):
Mo (0.250, 0.250, 0.250)
Re (0.750, 0.750, 0.750)
Mo (0.000, 0.000, 0.000)
Cr (0.500, 0.500, 0.500)

Properties
ΔE to the lowest computed polymorph	0.08	eV per formula unit
spin magnetization	0.0009	μB per atom
density of states at the Fermi level	1.314	states/eV/atom
E	-10.87	eV per atom

Entry 8:
Density functional theory data (GGA-PBE) for a geometry-optimized CrRe2Mo structure.

a b c (Å): 4.749 4.749 4.749
angles (deg): 131.73 131.73 70.65
Positions (direct):
Re (0.250, 0.750, 0.500)
Mo (0.750, 0.250, 0.500)
Re (0.000, 0.000, 0.000)
Cr (0.500, 0.500, 0.000)

Properties
ΔE to the lowest computed polymorph	0.51	eV per formula unit
spin magnetization	0.0009	μB per atom
density of states at the Fermi level	1.037	states/eV/atom
E	-11.12	eV per atom

Entry 9:
Density functional theory data (GGA-PBE) for a geometry-optimized Cr2ReMo4 structure.

a b c (Å): 3.159 3.106 10.756
angles (deg): 90.00 98.44 90.00
Positions (direct):
Mo (0.651, 0.000, 0.301)
Mo (0.349, 0.000, 0.699)
Mo (0.926, 0.500, 0.851)
Re (0.500, 0.000, 0.000)
Mo (0.074, 0.500, 0.149)
Cr (0.212, 0.500, 0.423)
Cr (0.788, 0.500, 0.577)

Properties
spin magnetization	0.0000	μB per atom
density of states at the Fermi level	0.758	states/eV/atom
E	-10.48	eV per atom

Entry 10:
Density functional theory data (GGA-PBE) for a geometry-optimized CrReMo2 structure.

a b c (Å): 3.902 3.902 3.902
angles (deg): 90.00 90.00 90.00
Site moments in Bohr magnetons follow the coordinates.
Positions (direct):
Cr (0.500, 0.000, 0.500)  0.07
Mo (0.000, 0.000, 0.000)  0.00
Re (0.500, 0.500, 0.000)  -0.01
Mo (0.000, 0.500, 0.500)  0.00

Properties
ΔE to the lowest computed polymorph	1.07	eV per formula unit
spin magnetization	0.0166	μB per atom
density of states at the Fermi level	1.373	states/eV/atom
E	-10.62	eV per atom

Entry 11:
Density functional theory data (GGA-PBE) for a geometry-optimized Cr2ReMo structure.

a b c (Å): 6.763 6.763 5.429
angles (deg): 51.47 51.47 90.00
Positions (direct):
Re (0.750, 0.250, 0.500)
Mo (0.250, 0.750, 0.500)
Cr (0.375, 0.369, 0.750)
Re (0.000, 0.000, 0.000)
Cr (0.119, 0.625, 0.250)
Mo (0.500, 0.500, 0.000)
Cr (0.631, 0.125, 0.250)
Cr (0.875, 0.881, 0.750)

Properties
spin magnetization	0.0001	μB per atom
density of states at the Fermi level	1.384	states/eV/atom
E	-9.80	eV per atom

Entry 12:
Density functional theory data (GGA-PBE) for a geometry-optimized Cr2ReMo structure.

a b c (Å): 2.995 2.995 6.064
angles (deg): 90.00 90.00 90.00
Positions (direct):
Cr (0.000, 0.000, 0.009)
Mo (0.000, 0.000, 0.483)
Re (0.500, 0.500, 0.767)
Cr (0.500, 0.500, 0.241)

Properties
spin magnetization	0.0000	μB per atom
density of states at the Fermi level	0.840	states/eV/atom
E	-10.58	eV per atom

Entry 13:
Density functional theory data (GGA-PBE) for a geometry-optimized Cr3Re2Mo structure.

a b c (Å): 2.998 2.998 9.001
angles (deg): 90.00 90.00 90.00
Positions (direct):
Cr (0.000, 0.000, 0.332)
Cr (0.000, 0.000, 0.668)
Re (0.500, 0.500, 0.167)
Re (0.500, 0.500, 0.833)
Mo (0.500, 0.500, 0.500)
Cr (0.000, 0.000, 0.000)

Properties
spin magnetization	0.0000	μB per atom
density of states at the Fermi level	0.730	states/eV/atom
E	-10.73	eV per atom

Entry 14:
Density functional theory data (GGA-PBE) for a geometry-optimized Cr2ReMo structure.

a b c (Å): 4.247 4.247 3.006
angles (deg): 90.00 90.00 90.00
Positions (direct):
Mo (0.500, 0.000, 0.500)
Cr (0.000, 0.000, 0.000)
Cr (0.500, 0.500, 0.000)
Re (0.000, 0.500, 0.500)

Properties
spin magnetization	0.0000	μB per atom
density of states at the Fermi level	1.013	states/eV/atom
E	-10.60	eV per atom

Entry 15:
Density functional theory data (GGA-PBE) for a geometry-optimized CrReMo2 structure.

a b c (Å): 4.364 4.364 3.098
angles (deg): 90.00 90.00 90.01
Positions (direct):
Cr (0.000, 0.500, 0.500)
Re (0.500, 0.000, 0.500)
Mo (0.500, 0.500, 0.000)
Mo (0.000, 0.000, 0.000)

Properties
ΔE to the lowest computed polymorph	0.09	eV per formula unit
spin magnetization	0.0000	μB per atom
density of states at the Fermi level	0.953	states/eV/atom
E	-10.86	eV per atom

Entry 16:
Density functional theory data (GGA-PBE) for a geometry-optimized CrRe2Mo structure.

a b c (Å): 4.348 4.348 4.348
angles (deg): 60.00 60.00 60.00
Positions (direct):
Cr (0.500, 0.500, 0.500)
Re (0.000, 0.000, 0.000)
Re (0.250, 0.250, 0.250)
Mo (0.750, 0.750, 0.750)

Properties
ΔE to the lowest computed polymorph	0.04	eV per formula unit
spin magnetization	0.0000	μB per atom
density of states at the Fermi level	1.066	states/eV/atom
E	-11.24	eV per atom

Entry 17:
Density functional theory data (GGA-PBE) for a geometry-optimized CrRe2Mo structure.

a b c (Å): 4.745 4.745 4.745
angles (deg): 131.63 131.63 70.81
Positions (direct):
Re (0.500, 0.500, 0.000)
Re (0.000, 0.000, 0.000)
Cr (0.250, 0.750, 0.500)
Mo (0.750, 0.250, 0.500)

Properties
ΔE to the lowest computed polymorph	0.54	eV per formula unit
spin magnetization	0.0002	μB per atom
density of states at the Fermi level	1.115	states/eV/atom
E	-11.12	eV per atom

Entry 18:
Density functional theory data (GGA-PBE) for a geometry-optimized Cr2ReMo structure.

a b c (Å): 5.442 5.442 5.442
angles (deg): 151.47 59.43 129.05
Positions (direct):
Cr (0.255, 0.000, 0.255)
Re (0.500, 0.000, 0.500)
Cr (0.745, 0.000, 0.745)
Mo (0.000, 0.000, 0.000)

Properties
spin magnetization	0.0014	μB per atom
density of states at the Fermi level	1.125	states/eV/atom
E	-9.74	eV per atom

Entry 19:
Density functional theory data (GGA-PBE) for a geometry-optimized Cr2ReMo structure.

a b c (Å): 4.997 4.997 4.997
angles (deg): 145.01 129.77 62.69
Positions (direct):
Cr (0.995, 0.995, 0.000)
Re (0.247, 0.747, 0.500)
Cr (0.754, 0.254, 0.500)
Mo (0.505, 0.505, 0.000)

Properties
spin magnetization	0.0000	μB per atom
density of states at the Fermi level	0.978	states/eV/atom
E	-10.58	eV per atom

Entry 20:
Density functional theory data (GGA-PBE) for a geometry-optimized CrReMoRu structure.

a b c (Å): 4.351 4.351 4.351
angles (deg): 60.00 60.00 60.00
Site moments in Bohr magnetons follow the coordinates.
Positions (direct):
Cr (0.500, 0.500, 0.500)  2.16
Mo (0.750, 0.750, 0.750)  -0.28
Re (0.000, 0.000, 0.000)  0.20
Ru (0.250, 0.250, 0.250)  0.39

Properties
spin magnetization	0.6471	μB per atom
density of states at the Fermi level	1.560	states/eV/atom
E	-10.35	eV per atom

Number 1: density 12192 kg/m³. Number 2: density 12189 kg/m³. Number 3: density 10529 kg/m³. Number 4: density 13811 kg/m³. Number 5: density 9156 kg/m³. Number 6: density 12019 kg/m³. Number 7: density 12137 kg/m³. Number 8: density 14791 kg/m³. Number 9: density 10723 kg/m³. Number 10: density 12018 kg/m³. Number 11: density 10913 kg/m³. Number 12: density 11786 kg/m³. Number 13: density 12817 kg/m³. Number 14: density 11826 kg/m³. Number 15: density 12104 kg/m³. Number 16: density 14868 kg/m³. Number 17: density 14785 kg/m³. Number 18: density 10809 kg/m³. Number 19: density 11785 kg/m³. Number 20: density 12405 kg/m³.